Crystalline NaCeIn6 at its relaxed geometry. Source: Alexandria via LeMat-Bulk, functional PBE.

Geometry as CIF:
```
data_NaCeIn6
_chemical_formula_sum 'Na1 Ce1 In6'
_space_group_name_H-M_alt 'P 4/m m m'
_space_group_IT_number 123
_space_group_name_Hall '-P 4 2'
_cell_length_a 6.6532
_cell_length_b 6.6532
_cell_length_c 4.7441
_cell_angle_alpha 90.00
_cell_angle_beta 90.00
_cell_angle_gamma 90.00
loop_
_atom_site_label
_atom_site_fract_x
_atom_site_fract_y
_atom_site_fract_z
Na1 0.0000 0.0000 0.0000
Ce1 0.5000 0.5000 0.0000
In1 0.0000 0.5000 0.0000
In2 0.2495 0.2495 0.5000
```

Computed properties:
**N(E_F)**: 1.113 states/eV/atom
**E_form**: -210 meV per atom

=====

Crystalline NaCeIn at its relaxed geometry. Source: Alexandria via LeMat-Bulk, functional PBE.

Geometry as CIF:
```
data_NaCeIn
_chemical_formula_sum 'Na8 Ce8 In8'
_space_group_name_H-M_alt 'F m m m'
_space_group_IT_number 69
_space_group_name_Hall '-F 2 2'
_cell_length_a 6.0079
_cell_length_b 8.5369
_cell_length_c 14.1003
_cell_angle_alpha 90.00
_cell_angle_beta 90.00
_cell_angle_gamma 90.00
loop_
_atom_site_label
_atom_site_fract_x
_atom_site_fract_y
_atom_site_fract_z
Na1 0.0000 0.1664 0.0000
Ce1 0.2500 0.2500 0.2500
In1 0.0000 0.0000 0.3943
```

Computed properties:
**N(E_F)**: 2.522 states/eV/atom
**E_form**: 47 meV per atom
**Distance to the lowest polymorph of the same formula**: 2.24 kcal/mol of atoms

=====

Crystalline NaCeIn2 at its relaxed geometry. Source: Alexandria via LeMat-Bulk, functional PBE.

Geometry as CIF:
```
data_NaCeIn2
_chemical_formula_sum 'Na1 Ce1 In2'
_space_group_name_H-M_alt 'P 4/m m m'
_space_group_IT_number 123
_space_group_name_Hall '-P 4 2'
_cell_length_a 3.3423
_cell_length_b 3.3423
_cell_length_c 9.5894
_cell_angle_alpha 90.00
_cell_angle_beta 90.00
_cell_angle_gamma 90.00
loop_
_atom_site_label
_atom_site_fract_x
_atom_site_fract_y
_atom_site_fract_z
Na1 0.0000 0.0000 0.0000
Ce1 0.0000 0.0000 0.5000
In1 0.5000 0.5000 0.2503
```

Computed properties:
**N(E_F)**: 1.428 states/eV/atom
**E_form**: -207 meV per atom
**Distance to the lowest polymorph of the same formula**: 0.31 kcal/mol of atoms

=====

Crystalline NaCeNdIn at its relaxed geometry. Source: Alexandria via LeMat-Bulk, functional PBE.

Geometry as CIF:
```
data_NaCeNdIn
_chemical_formula_sum 'Na4 Ce4 Nd4 In4'
_space_group_name_H-M_alt 'F -4 3 m'
_space_group_IT_number 216
_space_group_name_Hall 'F -4 2 3'
_cell_length_a 7.8307
_cell_length_b 7.8307
_cell_length_c 7.8307
_cell_angle_alpha 90.00
_cell_angle_beta 90.00
_cell_angle_gamma 90.00
loop_
_atom_site_label
_atom_site_fract_x
_atom_site_fract_y
_atom_site_fract_z
Na1 0.0000 0.0000 0.0000
Ce1 0.2500 0.2500 0.2500
Nd1 0.2500 0.2500 0.7500
In1 0.0000 0.0000 0.5000
```

Computed properties:
**N(E_F)**: 2.948 states/eV/atom
**E_form**: -37 meV per atom

=====

Crystalline Na3Ce3InO8 at its relaxed geometry. Source: Alexandria via LeMat-Bulk, functional PBE.

Geometry as CIF:
```
data_Na3Ce3InO8
_chemical_formula_sum 'Na9 Ce9 In3 O24'
_space_group_name_H-M_alt 'R -3 m'
_space_group_IT_number 166
_space_group_name_Hall '-R 3 2"'
_cell_length_a 7.0336
_cell_length_b 7.0336
_cell_length_c 16.7643
_cell_angle_alpha 90.00
_cell_angle_beta 90.00
_cell_angle_gamma 120.00
loop_
_atom_site_label
_atom_site_fract_x
_atom_site_fract_y
_atom_site_fract_z
Na1 0.0000 0.5000 0.0000
Ce1 0.0000 0.5000 0.5000
In1 0.0000 0.0000 0.5000
O1 0.0000 0.0000 0.2381
O2 0.0140 0.5070 0.2344
```

Computed properties:
**DFT total energy**: -6.74 eV/atom
**N(E_F)**: 0.614 states/eV/atom

=====

Crystalline Na2CeInO4 at its relaxed geometry. Source: Alexandria via LeMat-Bulk, functional PBE.

Geometry as CIF:
```
data_Na2CeInO4
_chemical_formula_sum 'Na2 Ce1 In1 O4'
_space_group_name_H-M_alt 'P 1 2/m 1'
_space_group_IT_number 10
_cell_length_a 5.9108
_cell_length_b 3.4935
_cell_length_c 6.0022
_cell_angle_alpha 90.00
_cell_angle_beta 109.47
_cell_angle_gamma 90.00
loop_
_space_group_symop_operation_xyz
'x,y,z'
'-x,-y,-z'
'-x,y,-z'
'x,-y,z'
loop_
_atom_site_label
_atom_site_fract_x
_atom_site_fract_y
_atom_site_fract_z
Na1 0.0000 0.0000 0.0000
Na2 0.5000 0.5000 0.0000
Ce1 0.0000 0.5000 0.5000
In1 0.5000 0.0000 0.5000
O1 0.2347 0.0000 0.7185
O2 0.2725 0.5000 0.2872
```

Computed properties:
**DFT total energy**: -5.98 eV/atom
**N(E_F)**: 0.484 states/eV/atom

=====

Crystalline NaCeIn4O8 at its relaxed geometry. Source: Alexandria via LeMat-Bulk, functional PBE.

Geometry as CIF:
```
data_NaCeIn4O8
_chemical_formula_sum 'Na3 Ce3 In12 O24'
_space_group_name_H-M_alt 'R 3 m'
_space_group_IT_number 160
_space_group_name_Hall 'R 3 -2"'
_cell_length_a 6.6454
_cell_length_b 6.6454
_cell_length_c 16.1469
_cell_angle_alpha 90.00
_cell_angle_beta 90.00
_cell_angle_gamma 120.00
loop_
_atom_site_label
_atom_site_fract_x
_atom_site_fract_y
_atom_site_fract_z
Na1 0.0000 0.0000 0.0000
Ce1 0.0000 0.0000 0.3842
In1 0.0000 0.0000 0.6199
In2 0.0004 0.5002 0.5015
O1 0.0000 0.0000 0.2415
O2 0.0000 0.0000 0.7563
O3 0.0237 0.5118 0.7614
O4 0.1732 0.3464 0.5732
```

Computed properties:
**DFT total energy**: -5.99 eV/atom
**N(E_F)**: 0.311 states/eV/atom

=====

Crystalline NaCeInPb at its relaxed geometry. Source: Alexandria via LeMat-Bulk, functional PBE.

Geometry as CIF:
```
data_NaCeInPb
_chemical_formula_sum 'Na1 Ce1 In1 Pb1'
_space_group_name_H-M_alt 'P m m m'
_space_group_IT_number 47
_cell_length_a 4.4580
_cell_length_b 4.9374
_cell_length_c 5.1376
_cell_angle_alpha 90.00
_cell_angle_beta 90.00
_cell_angle_gamma 90.00
loop_
_space_group_symop_operation_xyz
'x,y,z'
'-x,-y,-z'
'-x,-y,z'
'x,y,-z'
'x,-y,-z'
'-x,y,z'
'-x,y,-z'
'x,-y,z'
loop_
_atom_site_label
_atom_site_fract_x
_atom_site_fract_y
_atom_site_fract_z
Na1 0.0000 0.0000 0.0000
Ce1 0.0000 0.5000 0.5000
In1 0.5000 0.5000 0.0000
Pb1 0.5000 0.0000 0.5000
```

Computed properties:
**N(E_F)**: 1.871 states/eV/atom
**E_form**: -261 meV per atom
**Distance to the lowest polymorph of the same formula**: 0.00 kcal/mol of atoms

=====

Crystalline NaCeInPb at its relaxed geometry. Source: Alexandria via LeMat-Bulk, functional PBE.

Geometry as CIF:
```
data_NaCeInPb
_chemical_formula_sum 'Na4 Ce4 In4 Pb4'
_space_group_name_H-M_alt 'F -4 3 m'
_space_group_IT_number 216
_space_group_name_Hall 'F -4 2 3'
_cell_length_a 7.6879
_cell_length_b 7.6879
_cell_length_c 7.6879
_cell_angle_alpha 90.00
_cell_angle_beta 90.00
_cell_angle_gamma 90.00
loop_
_atom_site_label
_atom_site_fract_x
_atom_site_fract_y
_atom_site_fract_z
Na1 0.0000 0.0000 0.0000
Ce1 0.0000 0.0000 0.5000
In1 0.2500 0.2500 0.7500
Pb1 0.2500 0.2500 0.2500
```

Computed properties:
**N(E_F)**: 1.616 states/eV/atom
**E_form**: -235 meV per atom
**Distance to the lowest polymorph of the same formula**: 0.60 kcal/mol of atoms

=====

Crystalline NaCeInPd at its relaxed geometry. Source: Alexandria via LeMat-Bulk, functional PBE.

Geometry as CIF:
```
data_NaCeInPd
_chemical_formula_sum 'Na4 Ce4 In4 Pd4'
_space_group_name_H-M_alt 'F -4 3 m'
_space_group_IT_number 216
_space_group_name_Hall 'F -4 2 3'
_cell_length_a 7.0560
_cell_length_b 7.0560
_cell_length_c 7.0560
_cell_angle_alpha 90.00
_cell_angle_beta 90.00
_cell_angle_gamma 90.00
loop_
_atom_site_label
_atom_site_fract_x
_atom_site_fract_y
_atom_site_fract_z
Na1 0.0000 0.0000 0.0000
Ce1 0.2500 0.2500 0.7500
In1 0.2500 0.2500 0.2500
Pd1 0.0000 0.0000 0.5000
```

Computed properties:
**N(E_F)**: 1.787 states/eV/atom
**E_form**: -317 meV per atom

=====

Crystalline NaCeInPt at its relaxed geometry. Source: Alexandria via LeMat-Bulk, functional PBE.

Geometry as CIF:
```
data_NaCeInPt
_chemical_formula_sum 'Na4 Ce4 In4 Pt4'
_space_group_name_H-M_alt 'F -4 3 m'
_space_group_IT_number 216
_space_group_name_Hall 'F -4 2 3'
_cell_length_a 7.0082
_cell_length_b 7.0082
_cell_length_c 7.0082
_cell_angle_alpha 90.00
_cell_angle_beta 90.00
_cell_angle_gamma 90.00
loop_
_atom_site_label
_atom_site_fract_x
_atom_site_fract_y
_atom_site_fract_z
Na1 0.0000 0.0000 0.0000
Ce1 0.2500 0.2500 0.2500
In1 0.2500 0.2500 0.7500
Pt1 0.0000 0.0000 0.5000
```

Computed properties:
**N(E_F)**: 1.350 states/eV/atom
**E_form**: -481 meV per atom

=====

Crystalline Na2CeInS4 at its relaxed geometry. Source: Alexandria via LeMat-Bulk, functional PBE.

Geometry as CIF:
```
data_Na2CeInS4
_chemical_formula_sum 'Na2 Ce1 In1 S4'
_space_group_name_H-M_alt 'P 1 2/m 1'
_space_group_IT_number 10
_cell_length_a 6.9316
_cell_length_b 4.0094
_cell_length_c 7.1055
_cell_angle_alpha 90.00
_cell_angle_beta 109.19
_cell_angle_gamma 90.00
loop_
_space_group_symop_operation_xyz
'x,y,z'
'-x,-y,-z'
'-x,y,-z'
'x,-y,z'
loop_
_atom_site_label
_atom_site_fract_x
_atom_site_fract_y
_atom_site_fract_z
Na1 0.0000 0.0000 0.0000
Na2 0.5000 0.5000 0.0000
Ce1 0.0000 0.5000 0.5000
In1 0.5000 0.0000 0.5000
S1 0.2491 0.0000 0.7328
S2 0.2685 0.5000 0.2759
```

Computed properties:
**DFT total energy**: -4.75 eV/atom
**N(E_F)**: 0.587 states/eV/atom

=====

N(E_F) of number 10 (NaCeInPd)? 1.787 states/eV/atom

=====

What did the eleventh record say?
Crystalline NaCeInPt at its relaxed geometry. Source: Alexandria via LeMat-Bulk, functional PBE.

Geometry as CIF:
```
data_NaCeInPt
_chemical_formula_sum 'Na4 Ce4 In4 Pt4'
_space_group_name_H-M_alt 'F -4 3 m'
_space_group_IT_number 216
_space_group_name_Hall 'F -4 2 3'
_cell_length_a 7.0082
_cell_length_b 7.0082
_cell_length_c 7.0082
_cell_angle_alpha 90.00
_cell_angle_beta 90.00
_cell_angle_gamma 90.00
loop_
_atom_site_label
_atom_site_fract_x
_atom_site_fract_y
_atom_site_fract_z
Na1 0.0000 0.0000 0.0000
Ce1 0.2500 0.2500 0.2500
In1 0.2500 0.2500 0.7500
Pt1 0.0000 0.0000 0.5000
```

Computed properties:
**N(E_F)**: 1.350 states/eV/atom
**E_form**: -481 meV per atom

=====

N(E_F) of number 12 (Na2CeInS4)? 0.587 states/eV/atom